Density functional theory data (PBE) for an optimized crystal structure of NdHoCoNi.

Cell: 6.8148 6.8148 6.8148 Å, 90.00 90.00 90.00°
With the nearest neighbours (Å) after each atom.
Space group F-43m (No. 216)
Inequivalent atoms, fractional coordinates:
Nd1 0.0000 0.0000 0.0000  4 Co 2.95, 4 Ni 2.95
Ho1 0.0000 0.0000 0.5000  4 Ni 2.95, 4 Co 2.95
Co1 0.2500 0.2500 0.2500  4 Ho 2.95, 4 Nd 2.95
Ni1 0.2500 0.2500 0.7500  4 Ho 2.95, 4 Nd 2.95

Magnetic moment, μB/f.u.: 0.2
ΔE_f, eV/atom: -0.168
N(E_F), states/eV per atom: 0.833
Theoretical density, g cm⁻³: 8.96